Record 1
{
  "formula": "KEuF4",
  "functional": "meta-GGA SCAN",
  "state": "PBEsol geometry",
  "lattice_angstrom": [[3.648, 0.000, 0.000], [0.000, 6.153, 0.000], [0.000, 0.000, 15.347]],
  "species": ["K", "K", "K", "K", "F", "F", "F", "F", "F", "F", "F", "F", "F", "F", "F", "F", "F", "F", "F", "F", "Eu", "Eu", "Eu", "Eu"],
  "frac_coords": [[0.750, 0.277, 0.701], [0.250, 0.723, 0.299], [0.750, 0.777, 0.799], [0.250, 0.223, 0.201], [0.250, 0.503, 0.442], [0.250, 0.105, 0.366], [0.750, 0.864, 0.462], [0.750, 0.395, 0.866], [0.750, 0.908, 0.192], [0.750, 0.997, 0.942], [0.250, 0.592, 0.692], [0.750, 0.497, 0.558], [0.750, 0.408, 0.308], [0.250, 0.092, 0.808], [0.250, 0.605, 0.134], [0.250, 0.636, 0.962], [0.750, 0.364, 0.038], [0.250, 0.136, 0.538], [0.750, 0.895, 0.634], [0.250, 0.003, 0.058], [0.750, 0.248, 0.440], [0.750, 0.748, 0.060], [0.250, 0.752, 0.560], [0.250, 0.252, 0.940]],
  "formation_energy_uncorrected_ev_per_atom": -3.574,
  "mass_density_g_cm3": 5.15,
  "final_energy_ev_per_atom": -16.274,
  "sg": "Pnma (62)"
}

Record 2
{
  "formula": "K2EuSi4O10F",
  "functional": "meta-GGA SCAN",
  "state": "PBEsol geometry",
  "lattice_angstrom": [[8.546, 0.000, 0.000], [0.000, 11.689, -0.005], [0.000, -4.667, 10.902]],
  "species": ["O", "O", "O", "O", "O", "O", "O", "O", "O", "O", "O", "O", "O", "O", "O", "O", "O", "O", "O", "O", "O", "O", "O", "O", "O", "O", "O", "O", "O", "O", "O", "O", "O", "O", "O", "O", "O", "O", "O", "O", "F", "F", "F", "F", "Si", "Si", "Si", "Si", "Si", "Si", "Si", "Si", "Si", "Si", "Si", "Si", "Si", "Si", "Si", "Si", "Eu", "Eu", "Eu", "Eu", "K", "K", "K", "K", "K", "K", "K", "K"],
  "frac_coords": [[0.547, 0.613, 0.273], [0.750, 0.455, 0.743], [0.033, 0.420, 0.332], [0.958, 0.008, 0.248], [0.457, 0.852, 0.354], [0.945, 0.179, 0.087], [0.546, 0.754, 0.515], [0.489, 0.768, 0.113], [0.533, 0.580, 0.668], [0.953, 0.613, 0.273], [0.445, 0.821, 0.913], [0.454, 0.246, 0.485], [0.011, 0.768, 0.113], [0.250, 0.663, 0.963], [0.458, 0.992, 0.752], [0.540, 0.594, 0.902], [0.453, 0.387, 0.727], [0.960, 0.594, 0.902], [0.046, 0.246, 0.485], [0.750, 0.793, 0.358], [0.957, 0.148, 0.646], [0.460, 0.406, 0.098], [0.250, 0.545, 0.257], [0.250, 0.207, 0.642], [0.989, 0.232, 0.887], [0.543, 0.148, 0.646], [0.750, 0.083, 0.775], [0.750, 0.337, 0.037], [0.040, 0.406, 0.098], [0.047, 0.387, 0.727], [0.043, 0.852, 0.354], [0.542, 0.008, 0.248], [0.042, 0.992, 0.752], [0.954, 0.754, 0.515], [0.511, 0.232, 0.887], [0.555, 0.179, 0.087], [0.250, 0.917, 0.225], [0.467, 0.420, 0.332], [0.967, 0.580, 0.668], [0.055, 0.821, 0.913], [0.250, 0.174, 0.212], [0.750, 0.251, 0.346], [0.250, 0.749, 0.654], [0.750, 0.826, 0.788], [0.930, 0.507, 0.755], [0.572, 0.753, 0.382], [0.429, 0.718, 0.969], [0.070, 0.493, 0.245], [0.064, 0.891, 0.235], [0.936, 0.109, 0.765], [0.570, 0.507, 0.755], [0.430, 0.493, 0.245], [0.428, 0.247, 0.618], [0.436, 0.891, 0.235], [0.928, 0.753, 0.382], [0.564, 0.109, 0.765], [0.072, 0.247, 0.618], [0.929, 0.282, 0.031], [0.571, 0.282, 0.031], [0.071, 0.718, 0.969], [0.005, 0.211, 0.287], [0.505, 0.789, 0.713], [0.995, 0.789, 0.713], [0.495, 0.211, 0.287], [0.750, 0.508, 0.472], [0.750, 0.592, 0.082], [0.250, 0.408, 0.918], [0.250, 0.935, 0.558], [0.250, 0.492, 0.528], [0.750, 0.065, 0.442], [0.750, 0.970, 0.035], [0.250, 0.030, 0.965]],
  "formation_energy_uncorrected_ev_per_atom": -3.017,
  "mass_density_g_cm3": 3.18,
  "final_energy_ev_per_atom": -12.810,
  "sg": "P2_1/m (11)"
}

Record 3
{
  "formula": "Na5Eu4Si4O16F",
  "functional": "meta-GGA SCAN",
  "state": "PBEsol geometry",
  "lattice_angstrom": [[-0.424, -3.480, -4.201], [5.281, -6.813, 1.546], [-6.427, -5.675, 1.786]],
  "species": ["O", "O", "O", "O", "O", "O", "O", "O", "O", "O", "O", "O", "O", "O", "O", "O", "Na", "Na", "Na", "Na", "Na", "Eu", "Eu", "Eu", "Eu", "F", "Si", "Si", "Si", "Si"],
  "frac_coords": [[0.207, 0.822, 0.246], [0.678, 0.863, 0.234], [0.275, 0.178, 0.754], [0.090, 0.494, 0.280], [0.459, 0.766, 0.863], [0.547, 0.246, 0.178], [0.198, 0.030, 0.438], [0.416, 0.720, 0.494], [0.971, 0.754, 0.822], [0.775, 0.137, 0.766], [0.088, 0.234, 0.137], [0.667, 0.970, 0.562], [0.630, 0.280, 0.506], [0.772, 0.562, 0.030], [0.864, 0.506, 0.720], [0.363, 0.438, 0.970], [0.500, 0.000, 0.000], [0.896, 0.696, 0.483], [0.621, 0.483, 0.304], [0.408, 0.517, 0.696], [0.075, 0.304, 0.517], [0.207, 0.933, 0.703], [0.090, 0.703, 0.067], [0.843, 0.067, 0.297], [0.860, 0.297, 0.933], [0.000, 0.000, 0.000], [0.592, 0.145, 0.648], [0.385, 0.855, 0.352], [0.263, 0.352, 0.145], [0.760, 0.648, 0.855]],
  "formation_energy_uncorrected_ev_per_atom": -2.904,
  "mass_density_g_cm3": 4.87,
  "final_energy_ev_per_atom": -15.545,
  "sg": "I-4 (82)"
}

Record 4
{
  "formula": "Eu2FeH6",
  "functional": "meta-GGA SCAN",
  "state": "PBEsol geometry",
  "lattice_angstrom": [[5.031, 0.000, 0.000], [2.516, 4.357, 0.000], [2.516, 1.452, 4.108]],
  "species": ["H", "H", "H", "H", "H", "H", "Eu", "Eu", "Fe"],
  "frac_coords": [[0.226, 0.226, 0.774], [0.226, 0.774, 0.226], [0.774, 0.226, 0.226], [0.774, 0.774, 0.226], [0.226, 0.774, 0.774], [0.774, 0.226, 0.774], [0.750, 0.750, 0.750], [0.250, 0.250, 0.250], [0.000, 0.000, 0.000]],
  "mass_density_g_cm3": 6.75,
  "final_energy_ev_per_atom": -16.862,
  "sg": "Fm-3m (225)"
}

Record 5
{
  "formula": "EuGa",
  "functional": "meta-GGA SCAN",
  "state": "PBEsol geometry",
  "lattice_angstrom": [[-1.828, -4.944, 0.787], [4.861, -1.991, 3.497], [-0.922, 0.579, 6.216]],
  "species": ["Eu", "Eu", "Eu", "Eu", "Ga", "Ga", "Ga", "Ga"],
  "frac_coords": [[0.271, 0.126, 0.126], [0.290, 0.665, 0.665], [0.729, 0.874, 0.874], [0.710, 0.335, 0.335], [0.804, 0.387, 0.804], [0.196, 0.613, 0.196], [0.804, 0.804, 0.387], [0.196, 0.196, 0.613]],
  "mass_density_g_cm3": 7.65,
  "final_energy_ev_per_atom": -35.565,
  "sg": "C2/m (12)",
  "formation_enthalpy_0k_kj_per_mol_fu": -103.5
}

Record 6
{
  "formula": "EuGa4",
  "functional": "meta-GGA SCAN",
  "state": "PBEsol geometry",
  "lattice_angstrom": [[4.315, 0.000, 0.000], [0.000, 4.315, 0.000], [-2.158, -2.158, 5.240]],
  "species": ["Eu", "Ga", "Ga", "Ga", "Ga"],
  "frac_coords": [[0.000, 0.000, 0.000], [0.616, 0.616, 0.232], [0.750, 0.250, 0.500], [0.250, 0.750, 0.500], [0.384, 0.384, 0.768]],
  "mass_density_g_cm3": 7.33,
  "final_energy_ev_per_atom": -24.342,
  "sg": "I4/mmm (139)",
  "formation_enthalpy_0k_kj_per_mol_fu": -252.1
}

Record 7
{
  "formula": "EuGa2",
  "functional": "meta-GGA SCAN",
  "state": "PBEsol geometry",
  "lattice_angstrom": [[-3.932, -1.284, 1.831], [-3.858, -1.704, -3.894], [-0.202, -5.606, 1.221]],
  "species": ["Eu", "Eu", "Ga", "Ga", "Ga", "Ga"],
  "frac_coords": [[0.955, 0.295, 0.795], [0.045, 0.705, 0.205], [0.338, 0.722, 0.601], [0.662, 0.899, 0.778], [0.662, 0.278, 0.399], [0.338, 0.101, 0.222]],
  "mass_density_g_cm3": 7.69,
  "final_energy_ev_per_atom": -29.447,
  "sg": "Imma (74)",
  "formation_enthalpy_0k_kj_per_mol_fu": -186.7
}

Record 8
{
  "formula": "EuGa2",
  "functional": "meta-GGA SCAN",
  "state": "PBEsol geometry",
  "lattice_angstrom": [[4.432, 0.000, 0.000], [-2.216, 3.838, 0.000], [0.000, 0.000, 3.780]],
  "species": ["Eu", "Ga", "Ga"],
  "frac_coords": [[0.000, 0.000, 0.000], [0.667, 0.333, 0.500], [0.333, 0.667, 0.500]],
  "mass_density_g_cm3": 7.53,
  "final_energy_ev_per_atom": -29.413,
  "sg": "P6/mmm (191)",
  "formation_enthalpy_0k_kj_per_mol_fu": -177.1
}

Record 9
{
  "formula": "Eu2Ga9Ir3",
  "functional": "meta-GGA SCAN",
  "state": "PBEsol geometry",
  "lattice_angstrom": [[7.501, -0.011, 0.000], [-3.702, 6.523, 0.000], [0.000, 0.000, 9.573]],
  "species": ["Ga", "Ga", "Ga", "Ga", "Ga", "Ga", "Ga", "Ga", "Ga", "Ga", "Ga", "Ga", "Ga", "Ga", "Ga", "Ga", "Ga", "Ga", "Ir", "Ir", "Ir", "Ir", "Ir", "Ir", "Eu", "Eu", "Eu", "Eu"],
  "frac_coords": [[0.002, 0.335, 0.576], [0.545, 0.337, 0.750], [0.334, 0.334, 0.440], [0.871, 0.871, 0.250], [0.002, 0.335, 0.924], [0.666, 0.666, 0.560], [0.335, 0.002, 0.576], [0.335, 0.002, 0.924], [0.129, 0.129, 0.750], [0.665, 0.998, 0.076], [0.998, 0.665, 0.076], [0.665, 0.998, 0.424], [0.337, 0.545, 0.750], [0.663, 0.455, 0.250], [0.998, 0.665, 0.424], [0.334, 0.334, 0.060], [0.455, 0.663, 0.250], [0.666, 0.666, 0.940], [0.000, 0.000, 0.000], [0.329, 0.671, 0.500], [0.329, 0.671, 0.000], [0.671, 0.329, 0.000], [0.000, 0.000, 0.500], [0.671, 0.329, 0.500], [0.002, 0.331, 0.250], [0.669, 0.998, 0.750], [0.998, 0.669, 0.750], [0.331, 0.002, 0.250]],
  "mass_density_g_cm3": 10.70,
  "final_energy_ev_per_atom": -34.130,
  "sg": "Cmcm (63)",
  "formation_enthalpy_0k_kj_per_mol_fu": -963.8
}

Record 10
{
  "formula": "LiEu2Ga7",
  "functional": "meta-GGA SCAN",
  "state": "PBEsol geometry",
  "lattice_angstrom": [[4.234, 0.000, 0.000], [0.000, 4.234, 0.000], [0.000, 0.000, 10.776]],
  "species": ["Ga", "Ga", "Ga", "Ga", "Ga", "Ga", "Ga", "Eu", "Eu", "Li"],
  "frac_coords": [[0.500, 0.500, 0.500], [0.500, 0.000, 0.361], [0.500, 0.000, 0.133], [0.000, 0.500, 0.639], [0.000, 0.500, 0.867], [0.000, 0.000, 0.500], [0.500, 0.500, 0.000], [0.000, 0.500, 0.256], [0.500, 0.000, 0.744], [0.000, 0.000, 0.000]],
  "mass_density_g_cm3": 6.87,
  "final_energy_ev_per_atom": -22.959,
  "sg": "P-4m2 (115)",
  "formation_enthalpy_0k_kj_per_mol_fu": -516.5
}

Record 11
{
  "formula": "EuMg2Ga2",
  "functional": "meta-GGA SCAN",
  "state": "PBEsol geometry",
  "lattice_angstrom": [[-1.274, 0.286, -4.172], [-2.002, -3.870, 0.346], [-3.272, 4.483, 3.598]],
  "species": ["Mg", "Mg", "Ga", "Ga", "Eu"],
  "frac_coords": [[0.750, 0.250, 0.500], [0.250, 0.750, 0.500], [0.604, 0.604, 0.209], [0.396, 0.396, 0.791], [0.000, 0.000, 0.000]],
  "mass_density_g_cm3": 5.05,
  "final_energy_ev_per_atom": -19.692,
  "sg": "I4/mmm (139)",
  "formation_enthalpy_0k_kj_per_mol_fu": -203.3
}

Record 12
{
  "formula": "Eu2MgGa3",
  "functional": "meta-GGA SCAN",
  "state": "PBEsol geometry",
  "lattice_angstrom": [[4.632, 0.000, 0.000], [2.316, 5.428, -0.041], [2.316, 0.254, 5.393]],
  "species": ["Ga", "Ga", "Ga", "Mg", "Eu", "Eu"],
  "frac_coords": [[0.328, 0.623, 0.720], [0.997, 0.435, 0.572], [0.012, 0.036, 0.939], [0.330, 0.236, 0.104], [0.710, 0.039, 0.541], [0.623, 0.631, 0.123]],
  "mass_density_g_cm3": 6.58,
  "final_energy_ev_per_atom": -27.428,
  "sg": "Cm (8)",
  "formation_enthalpy_0k_kj_per_mol_fu": -302.4
}